Below is crystalline Ba3Tl4Au2 at its relaxed geometry, with properties calculated at the PBE level.

Computed properties:
N(E_F) (states/eV/cell): 6.7
Crystal system: monoclinic
Mass density (g cm⁻³): 8.98
Energy (eV per atom): -2.900

a = 5.0645 Å, b = 6.8022 Å, c = 10.0308 Å
α = 71.27°, β = 75.38°, γ = 68.14°
Sites, in units of the cell vectors:
Ba: 0.3166 0.7280 0.6387
Ba: 0.0000 0.0000 0.0000
Ba: 0.6834 0.2720 0.3613
Tl: 0.2569 0.4002 0.0860
Tl: 0.7431 0.5998 0.9140
Tl: 0.0190 0.3160 0.6460
Tl: 0.9810 0.6840 0.3540
Au: 0.3989 0.9327 0.2695
Au: 0.6011 0.0673 0.7305